No. 1
Material: CePmCS
Method: DFT, PBE
State: optimized geometry

a b c (Å): 3.8641 3.8641 5.5346
angles (deg): 90.00 90.00 90.00
With the nearest neighbours (Å) after each atom.
Fractional coordinates of all 4 atoms:
Ce 0.0000 0.0000 0.0000  4 C 2.73, 2 S 2.77
Pm 0.5000 0.5000 0.5000  4 S 2.73, 2 C 2.77
C 0.5000 0.5000 0.0000  4 Ce 2.73, 2 Pm 2.77
S 0.0000 0.0000 0.5000  4 Pm 2.73, 2 Ce 2.77

Calculated values
Space-group type: P4/mmm (123)

No. 2
Material: Ca2RhSe
Method: DFT, PBE
State: optimized geometry

a b c (Å): 4.9535 4.9535 3.5859
angles (deg): 90.00 90.00 96.70
With the nearest neighbours (Å) after each atom.
Fractional coordinates of all 4 atoms:
Ca 0.0000 0.5000 0.0000  4 Se 3.06, 4 Rh 3.06, 2 Ca 3.29
Ca 0.5000 0.0000 0.0000  4 Se 3.06, 4 Rh 3.06, 2 Ca 3.29
Rh 0.0000 0.0000 0.5000  8 Ca 3.06, 2 Se 3.29
Se 0.5000 0.5000 0.5000  8 Ca 3.06, 2 Rh 3.29

Calculated values
Space-group type: Cmmm (65)

No. 3
Material: LaBe2Sb
Method: DFT, PBE
State: optimized geometry

a b c (Å): 9.2525 9.2525 9.2525
angles (deg): 151.39 151.39 40.90
With the nearest neighbours (Å) after each atom.
Fractional coordinates of all 8 atoms:
La 0.3750 0.6250 0.7500  4 Sb 3.23, 8 Be 3.35
La 0.6250 0.3750 0.2500  4 Sb 3.23, 8 Be 3.35
Be 0.0000 0.0000 0.0000  2 Be 2.29, 2 Sb 2.45
Be 0.0000 0.0000 0.5000  2 Be 2.29, 2 Sb 2.45
Be 0.0000 0.5000 0.0000  2 Be 2.29, 2 Sb 2.45
Be 0.5000 0.0000 0.5000  2 Be 2.29, 2 Sb 2.45
Sb 0.1250 0.8750 0.2500  4 Be 2.45
Sb 0.8750 0.1250 0.7500  4 Be 2.45

Calculated values
Excess energy over the best structure of this formula in the dataset: 222 meV per atom
Space-group type: I4_1/amd (141)

No. 4
Material: K3Li2PbF9
Method: DFT, PBE
State: optimized geometry

a b c (Å): 5.8975 5.8975 7.6527
angles (deg): 90.00 90.00 120.00
With the nearest neighbours (Å) after each atom.
Fractional coordinates of all 15 atoms:
K 0.0000 0.0000 0.0000  12 F 2.95-3.08
K 0.3333 0.6667 0.7287  9 F 2.69-2.99, 1 Li 2.96
K 0.6667 0.3333 0.2713  9 F 2.69-2.99, 1 Li 2.96
Li 0.3333 0.6667 0.1155  3 F 1.92
Li 0.6667 0.3333 0.8845  3 F 1.92
Pb 0.0000 0.0000 0.5000  6 F 2.10
F 0.0000 0.5000 0.0000  2 Li 1.92
F 0.1653 0.3306 0.3364  1 Pb 2.10
F 0.1653 0.8347 0.3364  1 Pb 2.10
F 0.3306 0.1653 0.6636  1 Pb 2.10
F 0.5000 0.0000 0.0000  2 Li 1.92
F 0.5000 0.5000 0.0000  2 Li 1.92
F 0.6694 0.8347 0.3364  1 Pb 2.10
F 0.8347 0.1653 0.6636  1 Pb 2.10
F 0.8347 0.6694 0.6636  1 Pb 2.10

Calculated values
Space-group type: P-3m1 (164)

So what do the calculations give for final energy? Going down the list: -28.05; -18.26; -33.05; -66.28 eV for the cell shown.
So what do the calculations give for energy relative to the elements, uncorrected? Going down the list: -1005; -855; -5; -2574 meV/atom.